5
Lattice="5.310 0.000 0.000 0.000 4.736 0.000 0.000 0.000 5.310" Properties=species:S:1:pos:R:3 comment="PBE-GGA MgNbReHg2, optimized geometry" delta_e_f_ev_per_atom=0.991 space_group="P4/mmm (123)" energy_ev_per_fu=-19.8 magmom_total_mub_per_cell=0.00 pbc="T T T"
Mg 2.655 2.368 2.655
Re 0.000 0.000 0.000
Nb 0.000 2.368 0.000
Hg 0.000 0.000 2.655
Hg 2.655 0.000 0.000


5
Lattice="5.506 0.000 0.000 0.000 5.361 0.000 0.000 0.000 5.506" Properties=species:S:1:pos:R:3 comment="PBE-GGA MgNbHgSb2, optimized geometry" e_form_raw_ev_per_atom=1.13 space_group="P4/mmm (123)" energy_ev_per_fu=-14.5 magmom_total_mub_per_cell=2.84 pbc="T T T"
Mg 2.753 2.681 2.753
Sb 0.000 0.000 2.753
Sb 2.753 0.000 0.000
Nb 0.000 2.681 0.000
Hg 0.000 0.000 0.000


5
Lattice="4.894 0.000 0.000 0.000 5.059 0.000 0.000 0.000 4.894" Properties=species:S:1:pos:R:3 comment="PBE-GGA MgScNbHg2, optimized geometry" delta_e_f_ev_per_atom=0.820 space_group="P4/mmm (123)" energy_ev_per_fu=-14.5 magmom_total_mub_per_cell=0.29 pbc="T T T"
Sc 2.447 2.529 2.447
Nb 0.000 2.529 0.000
Mg 0.000 0.000 0.000
Hg 0.000 0.000 2.447
Hg 2.447 0.000 0.000